Crystalline VAuOF2 at its relaxed geometry. Source: Alexandria via LeMat-Bulk, functional GGA+U.

Output
total magnetic moment	3.230	μB per cell
density of states at the Fermi level	3.3	states/eV/f.u.
uncorrected energy	-20.87	eV for the cell shown

Unit cell a=4.4686 b=4.4686 c=4.0576 alpha=90.00 beta=90.00 gamma=90.00
Closest atoms and distances in Å follow each position.
Element x y z (fractional)
Au 0.0000 0.0000 0.0000  2 O 2.03, 4 F 2.23
F 0.0000 0.5000 0.0000  2 Au 2.23
F 0.5000 0.0000 0.0000  2 Au 2.23
V 0.5000 0.5000 0.5000  8 F 3.02, 4 O 3.16
O 0.0000 0.0000 0.5000  2 Au 2.03